This record from Alexandria describes a relaxed structure of LiScCd. The functional is PBE.

## Properties
Energy relative to the lowest polymorph listed for this composition, meV/atom: 0.0
Total magnetic moment, μB/f.u.: 0.00
DFT formation energy, kJ/mol of atoms: -13.8
Final energy, eV/atom: -3.196

```
data_LiScCd
_cell_length_a 3.310
_cell_length_b 4.706
_cell_length_c 8.224
_cell_angle_alpha 90.00
_cell_angle_beta 90.00
_cell_angle_gamma 90.00
_space_group_name_H-M_alt 'P m m n'
_space_group_IT_number 59
loop_
_space_group_symop_operation_xyz
'x,y,z'
'-x,-y,-z'
'-x+1/2,-y+1/2,z'
'x+1/2,y+1/2,-z'
'x+1/2,-y,-z'
'-x+1/2,y,z'
'-x,y+1/2,-z'
'x,-y+1/2,z'
loop_
_atom_site_label
_atom_site_fract_x
_atom_site_fract_y
_atom_site_fract_z
_atom_site_occupancy
Li1 0.250 0.250 0.037 1
Sc1 0.250 0.750 0.619 1
Cd1 0.250 0.750 0.253 1
```